Entry 1:
Entry from the Alexandria database: a relaxed Tb7Pr2Ho4 crystal (PBE).

Total DFT energy (no corrections) (Ry per atom): -0.32713
DFT formation energy (eV/f.u.): 2.4

Structure (POSCAR):
```
Tb7Pr2Ho4
1.0
6.0990 0.0000 0.0000
-3.0495 5.2819 0.0000
0.0000 0.0000 13.3208
Pr Ho Tb
2 4 7
direct
0.3333 0.6667 0.0000
0.6667 0.3333 0.0000
0.0000 0.0000 0.6050
0.6667 0.3333 0.5000
0.0000 0.0000 0.3950
0.3333 0.6667 0.5000
0.0000 0.6431 0.7808
0.0000 0.3569 0.2192
0.6431 0.6431 0.2192
0.6431 0.0000 0.7808
0.3569 0.0000 0.2192
0.0000 0.0000 0.0000
0.3569 0.3569 0.7808
```



Entry 2:
Entry from the Alexandria database: a relaxed ErAg6Hg crystal (PBE).

Total DFT energy (no corrections) (Ry per atom): -0.19780
DFT formation energy (eV/f.u.): 0.4

Structure (POSCAR):
```
ErAg6Hg
1.0
5.0741 0.7960 -0.1880
1.1749 4.9999 -0.1880
1.5523 1.4397 7.0985
Ag Er Hg
6 1 1
direct
0.4796 0.9579 0.6972
0.6405 0.6405 0.0590
0.9579 0.4796 0.6972
0.5204 0.0421 0.3028
0.0421 0.5204 0.3028
0.3595 0.3595 0.9410
0.0000 0.0000 0.0000
0.5000 0.5000 0.5000
```



Entry 3:
Entry from the Alexandria database: a relaxed ZrZn3In crystal (PBE).

Total DFT energy (no corrections) (Ry per atom): -0.16464
DFT formation energy (eV/f.u.): 3.9

Structure (POSCAR):
```
ZrZn3In
1.0
4.8760 0.0000 0.0000
0.0000 4.8760 0.0000
0.0000 0.0000 4.8760
Zn In Zr
3 1 1
direct
0.5000 0.0000 0.0000
0.0000 0.5000 0.0000
0.0000 0.0000 0.5000
0.0000 0.0000 0.0000
0.5000 0.5000 0.5000
```



Entry 4:
Entry from the Alexandria database: a relaxed Ca3TaCd crystal (PBE).

Total DFT energy (no corrections) (Ry per atom): -0.20672
DFT formation energy (eV/f.u.): 4.7

Structure (POSCAR):
```
Ca3TaCd
1.0
5.6325 0.0000 0.0000
0.0000 5.6325 0.0000
0.0000 0.0000 5.6325
Ta Cd Ca
1 1 3
direct
0.0000 0.0000 0.0000
0.5000 0.5000 0.5000
0.0000 0.5000 0.0000
0.5000 0.0000 0.0000
0.0000 0.0000 0.5000
```



Entry 5:
Entry from the Alexandria database: a relaxed LiCrOs2 crystal (PBE).

Total DFT energy (no corrections) (Ry per atom): -0.57220
DFT formation energy (eV/f.u.): 2.9

Structure (POSCAR):
```
LiCrOs2
1.0
-1.3509 -1.9501 -6.5761
-6.2541 -2.4023 1.9972
-4.8082 0.0619 -2.7466
Os Li Cr
4 2 2
direct
0.0702 0.6250 0.2500
0.6798 0.1250 0.2500
0.8750 0.9298 0.7500
0.3750 0.3202 0.7500
0.2500 0.7500 0.5000
0.5000 0.5000 0.0000
0.7500 0.2500 0.5000
0.0000 0.0000 0.0000
```



Entry 6:
Entry from the Alexandria database: a relaxed Pr2Nd4HoSc crystal (PBE).

Total DFT energy (no corrections) (Ry per atom): -0.36098
DFT formation energy (eV/f.u.): 0.2

Structure (POSCAR):
```
Pr2Nd4HoSc
1.0
-2.5674 2.1807 -3.8824
-3.7028 -3.4871 0.4899
-8.5514 2.5718 7.0995
Pr Nd Sc Ho
2 4 1 1
direct
0.0000 0.0000 0.0000
0.5000 0.0000 0.5000
0.0000 0.7551 0.7454
0.5000 0.2539 0.7463
0.0000 0.2449 0.2546
0.5000 0.7461 0.2537
0.0000 0.5000 0.5000
0.5000 0.5000 0.0000
```



Entry 7:
Entry from the Alexandria database: a relaxed K2Rb13 crystal (PBE).

Total DFT energy (no corrections) (Ry per atom): -0.06863
DFT formation energy (eV/f.u.): 0.8

Structure (POSCAR):
```
K2Rb13
1.0
11.2225 0.0000 6.0351
3.9885 10.4899 6.0351
0.5814 0.4009 12.3708
Rb K
13 2
direct
0.1929 0.8086 0.8056
0.1929 0.1929 0.8056
0.3528 0.3528 0.3237
0.5000 0.5000 0.5000
0.1914 0.8071 0.1944
0.8071 0.1914 0.1944
0.8086 0.1929 0.8056
0.6472 0.0294 0.6763
0.0294 0.6472 0.6763
0.8071 0.8071 0.1944
0.9706 0.3528 0.3237
0.6472 0.6472 0.6763
0.3528 0.9706 0.3237
0.3500 0.3500 0.9501
0.6500 0.6500 0.0499
```



Entry 8:
Entry from the Alexandria database: a relaxed Cs3AgOs crystal (PBE).

Total DFT energy (no corrections) (Ry per atom): -0.16550
DFT formation energy (eV/f.u.): 5.4

Structure (POSCAR):
```
Cs3AgOs
1.0
-4.1234 2.6838 -3.5872
-0.7619 -5.2244 -3.0329
-4.4148 -1.6050 3.8738
Cs Os Ag
3 1 1
direct
0.0000 0.5000 0.0000
0.5000 0.0000 0.0000
0.0000 0.0000 0.5000
0.0000 0.0000 0.0000
0.5000 0.5000 0.5000
```



Entry 9:
Entry from the Alexandria database: a relaxed Ti9InSn2 crystal (PBE).

Total DFT energy (no corrections) (Ry per atom): -0.49082
DFT formation energy (eV/f.u.): 1.7

Structure (POSCAR):
```
Ti9InSn2
1.0
5.5610 0.0000 0.0000
2.7805 4.8160 0.0000
2.7805 1.6053 8.4576
Ti In Sn
9 1 2
direct
0.5000 0.5000 0.5000
0.0819 0.5842 0.7498
0.3319 0.3319 0.0042
0.4158 0.9182 0.2502
0.5842 0.0819 0.7498
0.4158 0.4158 0.2502
0.9182 0.4158 0.2502
0.5842 0.5842 0.7498
0.6681 0.6681 0.9958
0.0000 0.0000 0.0000
0.1415 0.1415 0.5754
0.8585 0.8585 0.4246
```



Entry 10:
Entry from the Alexandria database: a relaxed HoMg5Rh2 crystal (PBE).

Total DFT energy (no corrections) (Ry per atom): -0.27740
DFT formation energy (eV/f.u.): -2.9

Structure (POSCAR):
```
HoMg5Rh2
1.0
-0.7893 -3.9472 -0.9884
3.5816 -3.9028 4.0349
-4.6092 -2.3099 4.2143
Rh Mg Ho
2 5 1
direct
0.2800 0.2200 0.2200
0.7200 0.7800 0.7800
0.3328 0.8490 0.4855
0.3328 0.4855 0.8490
0.6672 0.5145 0.1510
0.0000 0.5000 0.5000
0.6672 0.1510 0.5145
0.0000 0.0000 0.0000
```



Entry 11:
Entry from the Alexandria database: a relaxed ZrPb2Cl2 crystal (PBE).

Formation energy (no corrections) (meV per atom): -164
Total DFT energy (no corrections) (Ry per atom): -0.30101

Structure (POSCAR):
```
ZrPb2Cl2
1.0
-0.5784 -5.6756 6.4811
-2.3860 -6.1360 -5.5863
3.2866 -0.8597 -0.4595
Pb Zr Cl
4 2 4
direct
0.6903 0.8097 0.5000
0.3097 0.1903 0.5000
0.1903 0.6903 0.5000
0.8097 0.3097 0.5000
0.0000 0.0000 0.0000
0.5000 0.5000 0.0000
0.3761 0.8761 0.0000
0.1239 0.3761 0.0000
0.6239 0.1239 0.0000
0.8761 0.6239 0.0000
```



Entry 12:
Entry from the Alexandria database: a relaxed CdTeCl3 crystal (PBE).

Formation energy (no corrections) (meV per atom): -320
Total DFT energy (no corrections) (Ry per atom): -0.16462

Structure (POSCAR):
```
CdTeCl3
1.0
-4.0408 1.3100 -3.1137
-3.1448 -3.2315 2.7216
-1.2335 3.9473 3.2615
Cl Te Cd
3 1 1
direct
0.0000 0.0000 0.5000
0.5000 0.0000 0.0000
0.0000 0.5000 0.0000
0.5000 0.5000 0.5000
0.0000 0.0000 0.0000
```